Entry from the Alexandria database: a relaxed structure of CaCr3O (PBE+U).

a = 4.529 Å, b = 4.529 Å, c = 4.529 Å
α = 90.00°, β = 90.00°, γ = 90.00°
Space group Pm-3m (No. 221)
Asymmetric unit:
Ca: 0.000 0.000 0.000 [1 per cell]
Cr: 0.000 0.500 0.500 [3 per cell]
O: 0.500 0.500 0.500 [1 per cell]

Properties
**E_tot**: -5.901 eV per atom
**Total magnetization**: 12.24 μB per cell
**Theoretical density**: 3.791 Mg/m³